# 1
Entry from Alexandria via LeMat-Bulk: a geometry-optimized Na2PdO6 structure (GGA-PBEsol).

DOS at the Fermi energy, states/eV/cell: 3.13
M_tot, Bohr magnetons per cell: 5.81
Uncorrected energy, eV/cell: -41.5
Space group: P-31m

Cell lengths 3.6507, 5.8832, 5.8832 Å; angles 120.00, 90.00, 90.00 degrees
Site moments in Bohr magnetons follow the coordinates.
Element x y z (fractional)
Na1 0.0000 0.6667 0.3333  0.01
Na2 0.0000 0.3333 0.6667  0.01
Pd1 0.0000 0.0000 0.0000  0.22
O1 0.3034 0.2718 0.2718  0.77
O2 0.3034 0.7282 0.0000  0.77
O3 0.3034 0.0000 0.7282  0.77
O4 0.6966 0.7282 0.7282  0.77
O5 0.6966 0.2718 0.0000  0.77
O6 0.6966 0.0000 0.2718  0.77



# 2
Entry from Alexandria via LeMat-Bulk: a geometry-optimized NaYPd6O8 structure (GGA-PBEsol).

DOS at the Fermi energy, states/eV/cell: 2.47
M_tot, Bohr magnetons per cell: 0.00
Uncorrected energy, eV/cell: -104.4
Space group: Pm-3

Cell lengths 5.7206, 5.7206, 5.7206 Å; angles 90.00, 90.00, 90.00 degrees
Element x y z (fractional)
Na1 0.5000 0.5000 0.5000
Y1 0.0000 0.0000 0.0000
Pd1 0.2506 0.0000 0.5000
Pd2 0.7494 0.0000 0.5000
Pd3 0.5000 0.2506 0.0000
Pd4 0.5000 0.7494 0.0000
Pd5 0.0000 0.5000 0.2506
Pd6 0.0000 0.5000 0.7494
O1 0.2415 0.2415 0.2415
O2 0.7585 0.7585 0.7585
O3 0.7585 0.7585 0.2415
O4 0.7585 0.2415 0.7585
O5 0.2415 0.2415 0.7585
O6 0.2415 0.7585 0.2415
O7 0.2415 0.7585 0.7585
O8 0.7585 0.2415 0.2415



# 3
Entry from Alexandria via LeMat-Bulk: a geometry-optimized NaPr2RuO6 structure (GGA-PBEsol).

M_tot, Bohr magnetons per cell: 6.00
Uncorrected energy, eV/cell: -153.6
Space group: P2_1/c

Cell lengths 5.4919, 5.9327, 7.9015 Å; angles 90.00, 90.92, 90.00 degrees
Site moments in Bohr magnetons follow the coordinates.
Element x y z (fractional)
Na1 0.0000 0.0000 0.0000  0.00
Na2 0.5000 0.5000 0.5000  0.00
Pr1 0.4787 0.9267 0.2527  0.03
Pr2 0.0213 0.4267 0.2473  0.03
Pr3 0.5213 0.0733 0.7473  0.03
Pr4 0.9787 0.5733 0.7527  0.03
Ru1 0.5000 0.5000 0.0000  1.92
Ru2 0.0000 0.0000 0.5000  1.92
O1 0.2083 0.6737 0.0499  0.13
O2 0.2917 0.1737 0.4501  0.13
O3 0.7917 0.3263 0.9501  0.13
O4 0.7083 0.8263 0.5499  0.13
O5 0.6145 0.5452 0.2316  0.12
O6 0.8855 0.0452 0.2684  0.12
O7 0.3855 0.4548 0.7684  0.12
O8 0.1145 0.9548 0.7316  0.12
O9 0.3347 0.2200 0.0653  0.12
O10 0.1653 0.7200 0.4347  0.12
O11 0.6653 0.7800 0.9347  0.12
O12 0.8347 0.2800 0.5653  0.12



# 4
Entry from Alexandria via LeMat-Bulk: a geometry-optimized NaPr9Si6S2O24 structure (GGA-PBEsol).

DOS at the Fermi energy, states/eV/cell: 0.00
M_tot, Bohr magnetons per cell: 0.00
Uncorrected energy, eV/cell: -697.0
Space group: Pc

Cell lengths 6.9268, 9.7842, 16.9539 Å; angles 89.95, 90.00, 90.00 degrees
Element x y z (fractional)
Na1 0.7440 0.9995 0.6659
Na2 0.2560 0.4995 0.1659
Pr1 0.5086 0.8800 0.8744
Pr2 0.7537 0.5007 0.8337
Pr3 0.2531 0.4991 0.8332
Pr4 0.5052 0.3720 0.6226
Pr5 0.4914 0.3800 0.3744
Pr6 0.9998 0.2555 0.5017
Pr7 0.4968 0.2477 0.0026
Pr8 0.0021 0.1205 0.8762
Pr9 0.2526 0.0002 0.6667
Pr10 0.7469 0.9991 0.3332
Pr11 0.2463 0.0007 0.3337
Pr12 0.4948 0.8720 0.1226
Pr13 0.0002 0.7555 0.0017
Pr14 0.5032 0.7477 0.5026
Pr15 0.9954 0.6264 0.6218
Pr16 0.9979 0.6205 0.3762
Pr17 0.7474 0.5002 0.1667
Pr18 0.0046 0.1264 0.1218
Si1 0.4974 0.6708 0.7025
Si2 0.4992 0.6109 0.9842
Si3 0.0039 0.2762 0.6904
Si4 0.5025 0.2181 0.8133
Si5 0.5026 0.1708 0.2025
Si6 0.5008 0.1109 0.4842
Si7 0.0022 0.8976 0.5169
Si8 0.0063 0.8263 0.7930
Si9 0.9961 0.7762 0.1904
Si10 0.4975 0.7181 0.3133
Si11 0.9978 0.3976 0.0169
Si12 0.9937 0.3263 0.2930
S1 0.7412 0.4971 0.4943
S2 0.7488 0.0029 0.0054
S3 0.2589 0.9971 0.9943
S4 0.2512 0.5029 0.5054
O1 0.6904 0.6896 0.9475
O2 0.3087 0.6876 0.9461
O3 0.0057 0.6702 0.8282
O4 0.5077 0.6744 0.8001
O5 0.3049 0.5757 0.6857
O6 0.6862 0.5767 0.6785
O7 0.5019 0.4624 0.9372
O8 0.0030 0.4066 0.7510
O9 0.9969 0.4211 0.9212
O10 0.5109 0.3629 0.7626
O11 0.2005 0.2626 0.6364
O12 0.8309 0.2962 0.6260
O13 0.6891 0.2304 0.8734
O14 0.3082 0.2395 0.8684
O15 0.6913 0.1876 0.4461
O16 0.3096 0.1896 0.4475
O17 0.9943 0.1702 0.3282
O18 0.4923 0.1744 0.3001
O19 0.9939 0.1319 0.7385
O20 0.4996 0.1042 0.5792
O21 0.5000 0.0789 0.7624
O22 0.3138 0.0767 0.1785
O23 0.6951 0.0757 0.1857
O24 0.9964 0.0426 0.5643
O25 0.4981 0.9624 0.4372
O26 0.8344 0.9127 0.8361
O27 0.2032 0.9143 0.8122
O28 0.9970 0.9066 0.2510
O29 0.0031 0.9211 0.4212
O30 0.4891 0.8629 0.2626
O31 0.9930 0.8265 0.6970
O32 0.4944 0.8167 0.6582
O33 0.1963 0.8204 0.5509
O34 0.8256 0.7947 0.5401
O35 0.1691 0.7962 0.1260
O36 0.7995 0.7626 0.1364
O37 0.3109 0.7304 0.3734
O38 0.6918 0.7395 0.3684
O39 0.0061 0.6319 0.2385
O40 0.5004 0.6042 0.0792
O41 0.5000 0.5789 0.2624
O42 0.0036 0.5426 0.0643
O43 0.7968 0.4143 0.3122
O44 0.1656 0.4127 0.3361
O45 0.0070 0.3265 0.1970
O46 0.5056 0.3167 0.1582
O47 0.8037 0.3204 0.0509
O48 0.1744 0.2947 0.0401



# 5
Entry from Alexandria via LeMat-Bulk: a geometry-optimized NaPr9Si6S2O24 structure (GGA-PBEsol).

DOS at the Fermi energy, states/eV/cell: 0.00
M_tot, Bohr magnetons per cell: 0.00
Uncorrected energy, eV/cell: -348.4
Space group: P3

Cell lengths 6.9207, 9.7956, 9.7956 Å; angles 120.00, 90.00, 90.00 degrees
Element x y z (fractional)
Na1 0.4926 0.6667 0.3333
Pr1 0.2509 0.3377 0.9169
Pr2 0.2509 0.5792 0.6623
Pr3 0.2509 0.0831 0.4208
Pr4 0.7448 0.3391 0.4244
Pr5 0.7448 0.0853 0.6609
Pr6 0.7448 0.5756 0.9147
Pr7 0.0008 0.0000 0.0000
Pr8 0.5017 0.0000 0.0000
Pr9 0.0017 0.6667 0.3333
Si1 0.2486 0.9600 0.6984
Si2 0.2486 0.7383 0.0400
Si3 0.2486 0.3016 0.2617
Si4 0.7510 0.7143 0.6331
Si5 0.7510 0.9188 0.2857
Si6 0.7510 0.3669 0.0812
S1 0.4853 0.3333 0.6667
S2 0.9945 0.3333 0.6667
O1 0.2506 0.8590 0.7927
O2 0.2506 0.9336 0.1410
O3 0.2506 0.2073 0.0664
O4 0.7464 0.8106 0.5371
O5 0.7464 0.7265 0.1894
O6 0.7464 0.4629 0.2735
O7 0.4404 0.0739 0.7725
O8 0.4404 0.6986 0.9261
O9 0.4404 0.2275 0.3014
O10 0.9447 0.6023 0.5658
O11 0.9447 0.9635 0.3977
O12 0.9447 0.4342 0.0365
O13 0.5737 0.5890 0.5867
O14 0.5737 0.9977 0.4110
O15 0.5737 0.4133 0.0023
O16 0.0585 0.0765 0.7728
O17 0.0585 0.6964 0.9235
O18 0.0585 0.2272 0.3036
O19 0.2454 0.8578 0.5085
O20 0.2454 0.6507 0.1422
O21 0.2454 0.4915 0.3493
O22 0.7529 0.8349 0.8240
O23 0.7529 0.9891 0.1651
O24 0.7529 0.1760 0.0109



# 6
Entry from Alexandria via LeMat-Bulk: a geometry-optimized Na2PrSiO5 structure (GGA-PBEsol).

M_tot, Bohr magnetons per cell: 4.01
Uncorrected energy, eV/cell: -247.4
Space group: Pnma

Cell lengths 6.5700, 7.4364, 9.4157 Å; angles 90.00, 90.00, 90.00 degrees
Site moments in Bohr magnetons follow the coordinates.
Element x y z (fractional)
Na1 0.1073 0.9641 0.8163  0.00
Na2 0.8927 0.0359 0.1837  0.00
Na3 0.6073 0.0359 0.6837  0.00
Na4 0.8927 0.4641 0.1837  0.00
Na5 0.3927 0.9641 0.3163  0.00
Na6 0.1073 0.5359 0.8163  0.00
Na7 0.3927 0.5359 0.3163  0.00
Na8 0.6073 0.4641 0.6837  0.00
Pr1 0.1271 0.2500 0.5392  -0.02
Pr2 0.8729 0.7500 0.4608  -0.02
Pr3 0.6271 0.7500 0.9608  -0.02
Pr4 0.3729 0.2500 0.0392  -0.02
Si1 0.8202 0.2500 0.9118  0.00
Si2 0.1798 0.7500 0.0882  0.00
Si3 0.3202 0.7500 0.5882  0.00
Si4 0.6798 0.2500 0.4118  0.00
O1 0.9029 0.2500 0.7463  0.16
O2 0.0971 0.7500 0.2537  0.16
O3 0.4029 0.7500 0.7537  0.16
O4 0.5971 0.2500 0.2463  0.16
O5 0.1725 0.9257 0.5633  0.01
O6 0.8275 0.0743 0.4367  0.01
O7 0.6725 0.0743 0.9367  0.01
O8 0.8275 0.4257 0.4367  0.01
O9 0.3275 0.9257 0.0633  0.01
O10 0.1725 0.5743 0.5633  0.01
O11 0.3275 0.5743 0.0633  0.01
O12 0.6725 0.4257 0.9367  0.01
O13 0.2743 0.2500 0.7820  0.61
O14 0.7257 0.7500 0.2180  0.61
O15 0.7743 0.7500 0.7180  0.61
O16 0.2257 0.2500 0.2820  0.61
O17 0.4906 0.2500 0.5230  0.04
O18 0.5094 0.7500 0.4770  0.04
O19 0.9906 0.7500 0.9770  0.04
O20 0.0094 0.2500 0.0230  0.04



# 7
Entry from Alexandria via LeMat-Bulk: a geometry-optimized NaPrSi6O14 structure (GGA-PBEsol).

DOS at the Fermi energy, states/eV/cell: 0.00
M_tot, Bohr magnetons per cell: 0.00
Uncorrected energy, eV/cell: -709.3
Space group: Ibam

Cell lengths 7.7021, 13.1318, 13.1318 Å; angles 72.31, 72.95, 72.95 degrees
Element x y z (fractional)
Na1 0.2500 0.7500 0.7500
Na2 0.0000 0.5000 0.5000
Na3 0.7500 0.2500 0.2500
Na4 0.5000 0.0000 0.0000
Pr1 0.7500 0.0198 0.4802
Pr2 0.2500 0.5198 0.9802
Pr3 0.2500 0.9802 0.5198
Pr4 0.7500 0.4802 0.0198
Si1 0.2986 0.4716 0.2326
Si2 0.5028 0.0284 0.2674
Si3 0.7324 0.3346 0.6654
Si4 0.0028 0.7674 0.5284
Si5 0.6790 0.6334 0.3666
Si6 0.3861 0.2742 0.4313
Si7 0.7986 0.7326 0.9716
Si8 0.1790 0.8666 0.1334
Si9 0.5916 0.2258 0.0687
Si10 0.4972 0.9716 0.7326
Si11 0.4084 0.7742 0.9313
Si12 0.2324 0.1654 0.8346
Si13 0.1139 0.0687 0.2258
Si14 0.7676 0.8346 0.1654
Si15 0.2014 0.2674 0.0284
Si16 0.0916 0.5687 0.7258
Si17 0.7014 0.5284 0.7674
Si18 0.2676 0.6654 0.3346
Si19 0.8861 0.9313 0.7742
Si20 0.8210 0.1334 0.8666
Si21 0.6139 0.7258 0.5687
Si22 0.3210 0.3666 0.6334
Si23 0.9084 0.4313 0.2742
Si24 0.9972 0.2326 0.4716
O1 0.0512 0.8850 0.4917
O2 0.0721 0.3850 0.9917
O3 0.6802 0.1425 0.9845
O4 0.2747 0.7020 0.9345
O5 0.4578 0.8538 0.8084
O6 0.7307 0.8112 0.0596
O7 0.4112 0.7980 0.5655
O8 0.9112 0.0655 0.2980
O9 0.2577 0.7695 0.2305
O10 0.6928 0.6425 0.4845
O11 0.8985 0.3112 0.5596
O12 0.2693 0.1888 0.9404
O13 0.5721 0.4917 0.8850
O14 0.5512 0.9917 0.3850
O15 0.3198 0.8575 0.0155
O16 0.3985 0.0596 0.8112
O17 0.0307 0.1361 0.8639
O18 0.2252 0.2020 0.4636
O19 0.1015 0.6888 0.4404
O20 0.5307 0.3639 0.6361
O21 0.9488 0.1150 0.5083
O22 0.0422 0.6916 0.6462
O23 0.9279 0.6150 0.0083
O24 0.1802 0.4845 0.6425
O25 0.5888 0.2020 0.4345
O26 0.0888 0.9345 0.7020
O27 0.1928 0.9845 0.1425
O28 0.3801 0.3538 0.3084
O29 0.2307 0.5596 0.3112
O30 0.7577 0.7305 0.2695
O31 0.4488 0.0083 0.6150
O32 0.8801 0.8084 0.8538
O33 0.3909 0.2980 0.0364
O34 0.9693 0.8639 0.1361
O35 0.7423 0.2305 0.7695
O36 0.7253 0.2980 0.0655
O37 0.8072 0.0155 0.8575
O38 0.2253 0.5655 0.7980
O39 0.1199 0.1916 0.1462
O40 0.7252 0.9636 0.7020
O41 0.2748 0.0364 0.2980
O42 0.6199 0.6462 0.6916
O43 0.6091 0.7020 0.9636
O44 0.7747 0.4345 0.2020
O45 0.8909 0.5364 0.7980
O46 0.8198 0.5155 0.3575
O47 0.2423 0.2695 0.7305
O48 0.4279 0.5083 0.1150
O49 0.9578 0.3084 0.3538
O50 0.1091 0.4636 0.2020
O51 0.7748 0.7980 0.5364
O52 0.3072 0.3575 0.5155
O53 0.5422 0.1462 0.1916
O54 0.4693 0.6361 0.3639
O55 0.7693 0.4404 0.6888
O56 0.6015 0.9404 0.1888



# 8
Entry from Alexandria via LeMat-Bulk: a geometry-optimized NaPrTi2O6 structure (GGA-PBEsol).

DOS at the Fermi energy, states/eV/cell: 0.00
M_tot, Bohr magnetons per cell: 0.00
Uncorrected energy, eV/cell: -170.1
Space group: Pmn2_1

Cell lengths 5.4032, 5.4774, 7.6681 Å; angles 90.00, 90.00, 90.00 degrees
Element x y z (fractional)
Na1 0.5000 0.2285 0.5000
Na2 0.0000 0.7715 0.0000
Pr1 0.9894 0.7062 0.5000
Pr2 0.4894 0.2938 0.0000
Ti1 0.4898 0.7590 0.7519
Ti2 0.9898 0.2410 0.2519
Ti3 0.4898 0.7590 0.2481
Ti4 0.9898 0.2410 0.7481
O1 0.7253 0.4687 0.7167
O2 0.7912 0.9612 0.2864
O3 0.2912 0.0388 0.2136
O4 0.2253 0.5313 0.7833
O5 0.2912 0.0388 0.7864
O6 0.2253 0.5313 0.2167
O7 0.7253 0.4687 0.2833
O8 0.7912 0.9612 0.7136
O9 0.4319 0.7630 0.5000
O10 0.0661 0.2621 0.5000
O11 0.5661 0.7379 0.0000
O12 0.9319 0.2370 0.0000